1.
## MgGaIrI2 (PBE)

Data for an optimized crystal structure of MgGaIrI2.

Energy relative to the elements, uncorrected: 1.141 eV/atom
Total DFT energy (no corrections): -2.1755 eV/atom

Cell lengths 5.7314, 5.7314, 5.0773 Å; angles 90.00, 90.00, 90.00 degrees
With the nearest neighbours (Å) after each atom.
Space group P4/mmm (No. 123)
Asymmetric unit:
Mg (0.0000, 0.0000, 0.0000) (multiplicity 1)  2 Ga 2.54
Ga (0.0000, 0.0000, 0.5000) (multiplicity 1)  2 Mg 2.54
Ir (0.5000, 0.5000, 0.0000) (multiplicity 1)  8 I 3.83, 4 Mg 4.05
I (0.0000, 0.5000, 0.5000) (multiplicity 2)  2 Ga 2.87

2.
## Cs2CBr (PBE)

Data for an optimized crystal structure of Cs2CBr.

Energy relative to the elements, uncorrected: 0.310 eV/atom
Total DFT energy (no corrections): -2.8410 eV/atom
Energy above the lowest structure with this stoichiometry: 0.023 eV/atom

Cell lengths 7.8435, 7.8435, 15.4781 Å; angles 90.00, 90.00, 90.00 degrees
With the nearest neighbours (Å) after each atom.
Space group I-42d (No. 122)
Asymmetric unit:
Cs (0.2165, 0.2500, 0.1250) (multiplicity 8)  2 C 3.24, 2 Br 3.54
C (0.0000, 0.0000, 0.0000) (multiplicity 4)  4 Cs 3.24
Br (0.0000, 0.0000, 0.5000) (multiplicity 4)  4 Cs 3.54

3.
## ZrFeNi6 (PBE)

Data for an optimized crystal structure of ZrFeNi6.

Energy relative to the elements: -1.76 eV per formula unit
Total DFT energy (no corrections): -6.6828 eV/atom

Cell lengths 7.2884, 10.3600, 10.3634 Å; angles 90.00, 90.00, 90.00 degrees
With the nearest neighbours (Å) after each atom.
Space group Cmmm (No. 65)
Asymmetric unit:
Zr (0.0000, 0.0000, 0.2461) (multiplicity 4)  12 Ni 2.55-2.66
Zr (0.0000, 0.2450, 0.5000) (multiplicity 4)  12 Ni 2.54-2.69
Fe (0.0000, 0.2431, 0.0000) (multiplicity 4)  12 Ni 2.50-2.66
Fe (0.0000, 0.5000, 0.2438) (multiplicity 4)  12 Ni 2.52-2.65
Ni (0.0000, 0.0000, 0.0000) (multiplicity 2)  2 Fe 2.52, 2 Zr 2.55, 8 Ni 2.62
Ni (0.0000, 0.0000, 0.5000) (multiplicity 2)  4 Zr 2.54-2.63, 8 Ni 2.65
Ni (0.0000, 0.2544, 0.2405) (multiplicity 8)  8 Ni 2.48-2.69, 2 Fe 2.50-2.54, 2 Zr 2.64-2.69
Ni (0.0000, 0.5000, 0.0000) (multiplicity 2)  8 Ni 2.53, 4 Fe 2.53-2.66
Ni (0.0000, 0.5000, 0.5000) (multiplicity 2)  8 Ni 2.55, 2 Zr 2.64, 2 Fe 2.65
Ni (0.2403, 0.3777, 0.3688) (multiplicity 16)  1 Fe 2.52, 8 Ni 2.53-2.72, 3 Zr 2.61-2.65
Ni (0.2410, 0.3719, 0.1193) (multiplicity 16)  8 Ni 2.47-2.65, 3 Fe 2.53-2.55, 1 Zr 2.66

4.
## HfTh2Al4Pt3 (PBE)

Data for an optimized crystal structure of HfTh2Al4Pt3.

Energy relative to the elements: -9.17 eV per formula unit
Total DFT energy (no corrections): -6.7060 eV/atom

Cell lengths 4.2381, 4.2381, 11.2068 Å; angles 90.00, 90.00, 90.00 degrees
With the nearest neighbours (Å) after each atom.
Space group P-4m2 (No. 115)
Asymmetric unit:
Hf (0.0000, 0.0000, 0.0000) (multiplicity 1)  4 Al 2.72, 4 Pt 3.00
Th (0.0000, 0.5000, 0.7399) (multiplicity 2)  8 Al 3.23-3.42, 6 Pt 3.25-3.60, 2 Hf 3.60
Al (0.0000, 0.0000, 0.5000) (multiplicity 1)  4 Pt 2.56
Al (0.0000, 0.5000, 0.1527) (multiplicity 2)  3 Pt 2.46-2.72, 2 Hf 2.72
Al (0.5000, 0.5000, 0.5000) (multiplicity 1)  4 Pt 2.56
Pt (0.0000, 0.5000, 0.3726) (multiplicity 2)  5 Al 2.46-2.56
Pt (0.5000, 0.5000, 0.0000) (multiplicity 1)  4 Al 2.72, 4 Hf 3.00

5.
## SmTm2Te2 (PBE)

Data for an optimized crystal structure of SmTm2Te2.

Energy relative to the elements, uncorrected: -0.817 eV/atom
Total DFT energy (no corrections): -4.8064 eV/atom

Cell lengths 10.3791, 12.4058, 5.7751 Å; angles 90.00, 123.55, 90.00 degrees
With the nearest neighbours (Å) after each atom.
Space group C2/c (No. 15)
Asymmetric unit:
Sm (0.0000, 0.0978, 0.2500) (multiplicity 4)  3 Te 3.17-3.53, 2 Tm 3.50
Tm (0.1966, 0.4112, 0.9489) (multiplicity 8)  3 Te 2.98-3.10
Te (0.0000, 0.2026, 0.7500) (multiplicity 4)  4 Tm 2.98-3.10, 2 Sm 3.17
Te (0.0000, 0.3824, 0.2500) (multiplicity 4)  6 Tm 3.07-3.39

6.
## BaGdInSn (PBE)

Data for an optimized crystal structure of BaGdInSn.

Energy relative to the elements: -1.66 eV per formula unit
Total DFT energy (no corrections): -6.1016 eV/atom

Cell lengths 8.0443, 8.0443, 8.0443 Å; angles 90.00, 90.00, 90.00 degrees
With the nearest neighbours (Å) after each atom.
Space group F-43m (No. 216)
Asymmetric unit:
Ba (0.0000, 0.0000, 0.0000) (multiplicity 4)  4 In 3.48, 4 Sn 3.48
Gd (0.0000, 0.0000, 0.5000) (multiplicity 4)  4 Sn 3.48, 4 In 3.48
In (0.2500, 0.2500, 0.2500) (multiplicity 4)  4 Gd 3.48, 4 Ba 3.48
Sn (0.2500, 0.2500, 0.7500) (multiplicity 4)  4 Gd 3.48, 4 Ba 3.48

7.
## LiThSnIr (PBE)

Data for an optimized crystal structure of LiThSnIr.

Energy relative to the elements: -2.65 eV per formula unit
Total DFT energy (no corrections): -6.2122 eV/atom

Cell lengths 6.8711, 6.8711, 6.8711 Å; angles 90.00, 90.00, 90.00 degrees
With the nearest neighbours (Å) after each atom.
Space group F-43m (No. 216)
Asymmetric unit:
Li (0.0000, 0.0000, 0.0000) (multiplicity 4)  4 Th 2.98, 4 Sn 2.98
Th (0.2500, 0.2500, 0.7500) (multiplicity 4)  4 Li 2.98, 4 Ir 2.98
Sn (0.2500, 0.2500, 0.2500) (multiplicity 4)  4 Ir 2.98, 4 Li 2.98
Ir (0.0000, 0.0000, 0.5000) (multiplicity 4)  4 Th 2.98, 4 Sn 2.98

8.
## Er4Hg2Pt (PBE)

Data for an optimized crystal structure of Er4Hg2Pt.

Energy relative to the elements: -3.86 eV per formula unit
Total DFT energy (no corrections): -4.1082 eV/atom
Energy above the lowest structure with this stoichiometry: 0.000 eV/atom

Cell lengths 5.0648, 5.0648, 24.8756 Å; angles 90.00, 90.00, 120.00 degrees
With the nearest neighbours (Å) after each atom.
Space group R-3m (No. 166, hexagonal axes)
Asymmetric unit:
Er (0.0000, 0.0000, 0.1195) (multiplicity 6)  1 Pt 2.97, 4 Hg 3.01-3.04
Er (0.0000, 0.0000, 0.3708) (multiplicity 6)  3 Pt 3.07, 4 Hg 3.21-3.22
Hg (0.0000, 0.0000, 0.2418) (multiplicity 6)  8 Er 3.01-3.22
Pt (0.0000, 0.0000, 0.0000) (multiplicity 3)  8 Er 2.97-3.07

9.
## Tl2In2H (PBE)

Data for an optimized crystal structure of Tl2In2H.

Total DFT energy (no corrections): -2.2800 eV/atom
Energy above the lowest structure with this stoichiometry: 0.206 eV/atom

Cell lengths 4.1267, 4.1267, 17.0034 Å; angles 90.00, 90.00, 90.00 degrees
With the nearest neighbours (Å) after each atom.
Space group I4/mmm (No. 139)
Asymmetric unit:
Tl (0.0000, 0.0000, 0.0881) (multiplicity 4)  1 Tl 3.00, 4 H 3.28
In (0.0000, 0.5000, 0.2500) (multiplicity 4)  4 In 2.92
H (0.0000, 0.0000, 0.5000) (multiplicity 2)  8 Tl 3.28

10.
## In2TeAs (PBE)

Data for an optimized crystal structure of In2TeAs.

Energy relative to the elements, uncorrected: 0.104 eV/atom
Total DFT energy (no corrections): -3.2129 eV/atom
Energy above the lowest structure with this stoichiometry: 0.270 eV/atom

Cell lengths 3.2461, 3.2461, 10.2601 Å; angles 90.00, 90.00, 90.00 degrees
With the nearest neighbours (Å) after each atom.
Space group P4/mmm (No. 123)
Asymmetric unit:
In (0.0000, 0.0000, 0.2188) (multiplicity 2)  4 As 3.21, 4 In 3.25
Te (0.5000, 0.5000, 0.5000) (multiplicity 1)  4 Te 3.25
As (0.5000, 0.5000, 0.0000) (multiplicity 1)  8 In 3.21, 4 As 3.25

11.
## Ho2HgPt (PBE)

Data for an optimized crystal structure of Ho2HgPt.

Energy relative to the elements: -3.33 eV per formula unit
Total DFT energy (no corrections): -4.7060 eV/atom
Energy above the lowest structure with this stoichiometry: 0.046 eV/atom

Cell lengths 7.1711, 7.1711, 7.1711 Å; angles 90.00, 90.00, 90.00 degrees
With the nearest neighbours (Å) after each atom.
Space group Fm-3m (No. 225)
Asymmetric unit:
Ho (0.2500, 0.2500, 0.2500) (multiplicity 8)  4 Hg 3.11, 4 Pt 3.11
Hg (0.0000, 0.0000, 0.0000) (multiplicity 4)  8 Ho 3.11
Pt (0.0000, 0.0000, 0.5000) (multiplicity 4)  8 Ho 3.11

12.
## CeMg2VN4 (PBE)

Data for an optimized crystal structure of CeMg2VN4.

Energy relative to the elements, uncorrected: -0.932 eV/atom
Total DFT energy (no corrections): -7.3748 eV/atom

Cell lengths 3.2835, 11.4511, 10.5826 Å; angles 90.00, 90.00, 90.00 degrees
With the nearest neighbours (Å) after each atom.
Space group Cmcm (No. 63)
Asymmetric unit:
Ce (0.0000, 0.0812, 0.2500) (multiplicity 4)  8 N 2.55-2.80
Mg (0.0000, 0.3836, 0.0362) (multiplicity 8)  4 N 2.07-2.28
V (0.0000, 0.1828, 0.7500) (multiplicity 4)  2 N 1.73
N (0.0000, 0.0000, 0.0000) (multiplicity 4)  4 Mg 2.15
N (0.0000, 0.2799, 0.6243) (multiplicity 8)  1 V 1.73
N (0.0000, 0.4109, 0.2500) (multiplicity 4)  2 V 1.96